1.
! Ca2AgHg (GGA-PBE, relaxed); values from VASP
&SYSTEM
  ibrav = 0, nat = 4, ntyp = 3
/
ATOMIC_SPECIES
Ca 40.08 Ca.upf
Ag 107.87 Ag.upf
Hg 200.59 Hg.upf
CELL_PARAMETERS angstrom
-2.417 -0.725 3.331
1.728 -3.776 0.432
4.607 2.554 3.898
ATOMIC_POSITIONS crystal
Ca 0.500 0.500 0.308
Ag 0.500 0.500 0.788
Ca 0.000 0.000 0.938
Hg 0.000 0.000 0.466
! Space-group type: P4mm, No. 99
! Mass density, g cm⁻³: 5.64
! Formation enthalpy at 0 K, eV/atom: -0.2957

2.
! CaAg2Hg (GGA-PBE, relaxed); values from VASP
&SYSTEM
  ibrav = 0, nat = 4, ntyp = 3
/
ATOMIC_SPECIES
Hg 200.59 Hg.upf
Ag 107.87 Ag.upf
Ca 40.08 Ca.upf
CELL_PARAMETERS angstrom
-3.948 -1.611 -2.376
1.893 -0.208 -3.004
1.424 -5.310 1.234
ATOMIC_POSITIONS crystal
Hg 0.500 0.750 0.750
Ag 0.000 0.752 0.007
Ca 0.500 0.250 0.250
Ag 0.000 0.748 0.493
! Space-group type: P2/m, No. 10
! Mass density, g cm⁻³: 7.75
! Formation enthalpy at 0 K, eV/atom: -0.1784

3.
! Ca2AgHg6 (GGA-PBE, relaxed); values from VASP
&SYSTEM
  ibrav = 0, nat = 9, ntyp = 3
/
ATOMIC_SPECIES
Ca 40.08 Ca.upf
Hg 200.59 Hg.upf
Ag 107.87 Ag.upf
CELL_PARAMETERS angstrom
3.493 0.000 -0.934
-0.914 7.443 -3.417
0.549 -0.340 9.051
ATOMIC_POSITIONS crystal
Ca 0.134 0.134 0.267
Hg 0.500 0.792 0.000
Hg 0.676 0.851 0.353
Ag 0.000 0.500 0.000
Hg 0.500 0.208 0.000
Hg 0.324 0.498 0.647
Hg 0.324 0.149 0.647
Hg 0.676 0.502 0.353
Ca 0.866 0.866 0.733
! Space-group type: Immm, No. 71
! Mass density, g cm⁻³: 9.84
! Formation enthalpy at 0 K, eV/atom: -0.2280
! ΔE to the lowest computed polymorph, meV per atom: 0.0

4.
! CaAg2Hg (GGA-PBE, relaxed); values from VASP
&SYSTEM
  ibrav = 0, nat = 4, ntyp = 3
/
ATOMIC_SPECIES
Ag 107.87 Ag.upf
Hg 200.59 Hg.upf
Ca 40.08 Ca.upf
CELL_PARAMETERS angstrom
5.273 0.005 0.014
-2.481 5.371 0.008
0.310 1.106 3.280
ATOMIC_POSITIONS crystal
Ag 0.000 0.000 0.000
Hg 0.500 0.500 0.000
Ag 0.500 0.000 0.500
Ca 0.000 0.500 0.500
! Space-group type: C2/m, No. 12
! Mass density, g cm⁻³: 8.16
! Formation enthalpy at 0 K, eV/atom: -0.0695

5.
! Ca3Ag4Hg (GGA-PBE, relaxed); values from VASP
&SYSTEM
  ibrav = 0, nat = 16, ntyp = 3
/
ATOMIC_SPECIES
Ca 40.08 Ca.upf
Ag 107.87 Ag.upf
Hg 200.59 Hg.upf
CELL_PARAMETERS angstrom
5.056 0.000 0.000
0.000 7.493 0.000
0.000 0.000 10.109
ATOMIC_POSITIONS crystal
Ca 0.498 0.000 0.250
Ca 0.502 0.000 0.750
Ag 0.003 0.745 0.750
Hg 0.000 0.500 0.000
Ag 0.997 0.255 0.250
Ca 0.503 0.500 0.750
Ag 0.500 0.745 0.000
Ca 0.000 0.000 0.500
Hg 0.000 0.500 0.500
Ca 0.497 0.500 0.250
Ag 0.500 0.255 0.000
Ca 0.000 0.000 0.000
Ag 0.003 0.255 0.750
Ag 0.997 0.745 0.250
Ag 0.500 0.745 0.500
Ag 0.500 0.255 0.500
! Space-group type: Pmma, No. 51
! Mass density, g cm⁻³: 6.52
! Formation enthalpy at 0 K, eV/atom: -0.2553

6.
! Ca3Ag2Hg2 (GGA-PBE, relaxed); values from VASP
&SYSTEM
  ibrav = 0, nat = 7, ntyp = 3
/
ATOMIC_SPECIES
Hg 200.59 Hg.upf
Ag 107.87 Ag.upf
Ca 40.08 Ca.upf
CELL_PARAMETERS angstrom
9.463 -2.546 0.057
9.463 2.546 0.057
8.752 0.000 4.410
ATOMIC_POSITIONS crystal
Hg 0.399 0.399 0.399
Hg 0.601 0.601 0.601
Ag 0.896 0.896 0.896
Ca 0.784 0.784 0.784
Ca 0.216 0.216 0.216
Ca 0.000 0.000 0.000
Ag 0.104 0.104 0.104
! Space-group type: R-3m, No. 166
! Mass density, g cm⁻³: 5.83
! Formation enthalpy at 0 K, eV/atom: -0.2694

7.
! CaAgHg2 (GGA-PBE, relaxed); values from VASP
&SYSTEM
  ibrav = 0, nat = 4, ntyp = 3
/
ATOMIC_SPECIES
Ca 40.08 Ca.upf
Hg 200.59 Hg.upf
Ag 107.87 Ag.upf
CELL_PARAMETERS angstrom
4.304 0.000 0.000
2.152 3.728 0.000
2.152 1.243 6.937
ATOMIC_POSITIONS crystal
Ca 0.668 0.668 0.996
Hg 0.242 0.242 0.274
Hg 0.092 0.092 0.724
Ag 0.498 0.498 0.505
! Space-group type: R3m, No. 160
! Mass density, g cm⁻³: 8.19
! Formation enthalpy at 0 K, eV/atom: -0.1563

8.
! CaAg2Hg (GGA-PBE, relaxed); values from VASP
&SYSTEM
  ibrav = 0, nat = 4, ntyp = 3
/
ATOMIC_SPECIES
Ca 40.08 Ca.upf
Hg 200.59 Hg.upf
Ag 107.87 Ag.upf
CELL_PARAMETERS angstrom
4.476 0.019 0.000
-0.020 4.476 0.000
0.000 0.000 4.512
ATOMIC_POSITIONS crystal
Ca 0.500 0.000 0.500
Hg 0.000 0.500 0.500
Ag 0.500 0.500 0.000
Ag 0.000 0.000 0.000
! Space-group type: P4/mmm, No. 123
! Mass density, g cm⁻³: 8.38
! Formation enthalpy at 0 K, eV/atom: -0.1977

9.
! CaAgHg2 (GGA-PBE, relaxed); values from VASP
&SYSTEM
  ibrav = 0, nat = 4, ntyp = 3
/
ATOMIC_SPECIES
Hg 200.59 Hg.upf
Ag 107.87 Ag.upf
Ca 40.08 Ca.upf
CELL_PARAMETERS angstrom
-3.329 3.706 1.037
-1.185 1.078 4.829
1.604 4.346 2.104
ATOMIC_POSITIONS crystal
Hg 0.000 0.000 0.000
Ag 0.500 0.500 0.500
Hg 0.250 0.250 0.250
Ca 0.750 0.750 0.750
! Space-group type: F-43m, No. 216
! Mass density, g cm⁻³: 9.79
! Formation enthalpy at 0 K, eV/atom: -0.2896

10.
! Ca2Ag2Hg (GGA-PBE, relaxed); values from VASP
&SYSTEM
  ibrav = 0, nat = 5, ntyp = 3
/
ATOMIC_SPECIES
Ag 107.87 Ag.upf
Hg 200.59 Hg.upf
Ca 40.08 Ca.upf
CELL_PARAMETERS angstrom
3.912 0.000 0.000
0.000 3.912 0.000
1.956 1.956 8.626
ATOMIC_POSITIONS crystal
Ag 0.250 0.750 0.500
Ag 0.750 0.250 0.500
Hg 0.000 0.000 0.000
Ca 0.605 0.605 0.791
Ca 0.395 0.395 0.209
! Space-group type: I4/mmm, No. 139
! Mass density, g cm⁻³: 6.25
! Formation enthalpy at 0 K, eV/atom: -0.2689
! ΔE to the lowest computed polymorph, meV per atom: 79.7

11.
! Ca3Ag4Hg4 (GGA-PBE, relaxed); values from VASP
&SYSTEM
  ibrav = 0, nat = 11, ntyp = 3
/
ATOMIC_SPECIES
Ag 107.87 Ag.upf
Hg 200.59 Hg.upf
Ca 40.08 Ca.upf
CELL_PARAMETERS angstrom
-2.084 1.146 -2.728
-3.797 -2.312 1.920
-6.440 11.894 7.529
ATOMIC_POSITIONS crystal
Ag 0.739 0.736 0.525
Ag 0.406 0.906 0.188
Hg 0.686 0.187 0.627
Ca 0.859 0.358 0.282
Hg 0.452 0.450 0.096
Ag 0.261 0.264 0.475
Hg 0.314 0.813 0.373
Ag 0.594 0.094 0.812
Ca 0.000 0.000 0.000
Hg 0.548 0.550 0.904
Ca 0.141 0.642 0.718
! Space-group type: P-1, No. 2
! Mass density, g cm⁻³: 8.44
! Formation enthalpy at 0 K, eV/atom: -0.2985
! ΔE to the lowest computed polymorph, meV per atom: 0.0

12.
! Ca2Ag2Hg3 (GGA-PBE, relaxed); values from VASP
&SYSTEM
  ibrav = 0, nat = 7, ntyp = 3
/
ATOMIC_SPECIES
Hg 200.59 Hg.upf
Ag 107.87 Ag.upf
Ca 40.08 Ca.upf
CELL_PARAMETERS angstrom
-3.863 -1.686 1.888
4.795 -1.795 2.558
-1.668 6.832 2.687
ATOMIC_POSITIONS crystal
Hg 0.377 0.754 0.559
Ag 0.851 0.702 0.801
Hg 0.623 0.246 0.441
Ca 0.139 0.278 0.765
Ag 0.149 0.298 0.199
Hg 0.500 0.000 0.000
Ca 0.861 0.722 0.235
! Space-group type: C2/m, No. 12
! Mass density, g cm⁻³: 8.70
! Formation enthalpy at 0 K, eV/atom: -0.3268
! ΔE to the lowest computed polymorph, meV per atom: 0.0

no.,total moment (μB/atom),raw total energy (eV per atom)
1,0.00,-2.08
2,0.00,-2.18
3,0.00,-1.19
4,0.00,-2.07
5,0.00,-2.47
6,0.00,-2.03
7,0.00,-1.52
8,0.00,-2.20
9,0.00,-1.65
10,0.00,-2.27
11,0.00,-1.99
12,0.00,-1.84